Below is an optimized crystal structure of DyErMnIn, with properties calculated at the PBE level.

Calculated values
ρ: 8.47 g/cm3
DFT formation energy: -0.099 eV/atom
E: -5.367 eV per atom

Unit cell a=7.318 b=7.318 c=7.318 alpha=90.00 beta=90.00 gamma=90.00
Space group F-43m (No. 216)
Symmetry-distinct sites (fractional):
Dy  0.000  0.000  0.000
Er  0.000  0.000  0.500
Mn  0.250  0.250  0.750
In  0.250  0.250  0.250

Below is an optimized crystal structure of Dy2ErInN4, with properties calculated at the PBE level.

Calculated values
ρ: 9.64 g/cm3
formation energy from raw total energies: -1217 meV/atom
E: -7.443 eV per atom

Unit cell a=5.943 b=3.441 c=5.957 alpha=90.00 beta=110.40 gamma=90.00
Space group P2/m (No. 10)
Symmetry-distinct sites (fractional):
Dy  0.000  0.000  0.000
Dy  0.000  0.500  0.500
Er  0.500  0.000  0.500
In  0.500  0.500  0.000
N  0.246  0.500  0.258
N  0.251  0.000  0.749

Below is an optimized crystal structure of Dy2ErInN, with properties calculated at the PBE level.

Calculated values
ρ: 9.31 g/cm3
formation energy from raw total energies: -1004 meV/atom
E: -5.970 eV per atom

Unit cell a=4.819 b=4.819 c=4.768 alpha=90.00 beta=90.00 gamma=90.00
Space group P4/mmm (No. 123)
Symmetry-distinct sites (fractional):
Dy  0.000  0.500  0.000
Er  0.000  0.000  0.500
In  0.500  0.500  0.500
N  0.000  0.000  0.000

Below is an optimized crystal structure of DyEr2InN, with properties calculated at the PBE level.

Calculated values
ρ: 9.50 g/cm3
formation energy from raw total energies: -1009 meV/atom
E: -5.967 eV per atom

Unit cell a=4.767 b=4.767 c=4.816 alpha=90.00 beta=90.00 gamma=90.00
Space group P4/mmm (No. 123)
Symmetry-distinct sites (fractional):
Dy  0.000  0.000  0.000
Er  0.000  0.500  0.500
In  0.500  0.500  0.000
N  0.000  0.000  0.500

Below is an optimized crystal structure of Nd3Dy6Er2In, with properties calculated at the PBE level.

Calculated values
ρ: 8.22 g/cm3
DFT formation energy: -0.035 eV/atom
E: -4.517 eV per atom

Unit cell a=6.149 b=10.650 c=11.646 alpha=90.00 beta=100.17 gamma=90.00
Space group C2/m (No. 12)
Symmetry-distinct sites (fractional):
Nd  0.000  0.000  0.000
Nd  0.000  0.333  0.000
Dy  0.244  0.336  0.742
Dy  0.248  0.500  0.257
Er  0.000  0.166  0.500
In  0.000  0.500  0.500

Below is an optimized crystal structure of Nd6Dy3Er2In, with properties calculated at the PBE level.

Calculated values
ρ: 7.73 g/cm3
DFT formation energy: -0.031 eV/atom
E: -4.554 eV per atom

Unit cell a=6.199 b=10.770 c=11.787 alpha=90.00 beta=100.27 gamma=90.00
Space group C2/m (No. 12)
Symmetry-distinct sites (fractional):
Nd  0.245  0.164  0.247
Nd  0.246  0.000  0.752
Dy  0.000  0.168  0.500
Dy  0.000  0.500  0.500
Er  0.000  0.334  0.000
In  0.000  0.000  0.000

Below is an optimized crystal structure of NdDyEr2In4, with properties calculated at the PBE level.

Calculated values
ρ: 8.48 g/cm3
DFT formation energy: -0.457 eV/atom
E: -4.138 eV per atom

Unit cell a=5.3355 b=5.3355 c=26.2155 alpha=90.00 beta=90.00 gamma=120.00
Space group R-3m (No. 166, hexagonal axes)
Symmetry-distinct sites (fractional):
Nd  0.0000  0.0000  0.0000
Dy  0.0000  0.0000  0.5000
Er  0.0000  0.0000  0.2496
In  0.0000  0.0000  0.1263
In  0.0000  0.0000  0.3764

Below is an optimized crystal structure of Nd2Dy3Er6In, with properties calculated at the PBE level.

Calculated values
ρ: 8.59 g/cm3
DFT formation energy: -0.056 eV/atom
E: -4.510 eV per atom

Unit cell a=6.065 b=10.510 c=11.670 alpha=90.00 beta=100.00 gamma=90.00
Space group C2/m (No. 12)
Symmetry-distinct sites (fractional):
Nd  0.000  0.166  0.000
Dy  0.000  0.000  0.500
Dy  0.000  0.333  0.500
Er  0.244  0.500  0.749
Er  0.247  0.336  0.250
In  0.000  0.500  0.000

Below is an optimized crystal structure of NdDyErIn, with properties calculated at the PBE level.

Calculated values
ρ: 8.40 g/cm3
relative energy among the computed polymorphs: 54 meV per atom
DFT formation energy: -0.089 eV/atom
E: -4.257 eV per atom

Unit cell a=7.750 b=7.750 c=7.750 alpha=90.00 beta=90.00 gamma=90.00
Space group F-43m (No. 216)
Symmetry-distinct sites (fractional):
Nd  0.000  0.000  0.000
Dy  0.250  0.250  0.750
Er  0.250  0.250  0.250
In  0.000  0.000  0.500

Below is an optimized crystal structure of NdDy2ErIn4, with properties calculated at the PBE level.

Calculated values
ρ: 8.41 g/cm3
DFT formation energy: -0.463 eV/atom
E: -4.149 eV per atom

Unit cell a=5.3419 b=5.3419 c=26.2757 alpha=90.00 beta=90.00 gamma=120.00
Space group R-3m (No. 166, hexagonal axes)
Symmetry-distinct sites (fractional):
Nd  0.0000  0.0000  0.0000
Dy  0.0000  0.0000  0.2494
Er  0.0000  0.0000  0.5000
In  0.0000  0.0000  0.1266
In  0.0000  0.0000  0.3767

Below is an optimized crystal structure of NdDyErIn, with properties calculated at the PBE level.

Calculated values
ρ: 8.34 g/cm3
relative energy among the computed polymorphs: 0 meV per atom
DFT formation energy: -0.143 eV/atom
E: -4.310 eV per atom

Unit cell a=7.768 b=7.768 c=7.768 alpha=90.00 beta=90.00 gamma=90.00
Space group F-43m (No. 216)
Symmetry-distinct sites (fractional):
Nd  0.000  0.000  0.000
Dy  0.000  0.000  0.500
Er  0.250  0.250  0.250
In  0.250  0.250  0.750

Below is an optimized crystal structure of Nd2Dy6Er3In, with properties calculated at the PBE level.

Calculated values
ρ: 8.45 g/cm3
DFT formation energy: -0.055 eV/atom
E: -4.519 eV per atom

Unit cell a=6.083 b=10.540 c=11.702 alpha=90.00 beta=99.99 gamma=90.00
Space group C2/m (No. 12)
Symmetry-distinct sites (fractional):
Nd  0.000  0.166  0.000
Dy  0.244  0.500  0.748
Dy  0.247  0.336  0.251
Er  0.000  0.000  0.500
Er  0.000  0.333  0.500
In  0.000  0.500  0.000

Below is an optimized crystal structure of Dy2ErInO, with properties calculated at the PBE level.

Calculated values
ρ: 9.57 g/cm3
formation energy from raw total energies: -1422 meV/atom
E: -5.715 eV per atom

Unit cell a=4.785 b=4.785 c=4.723 alpha=90.00 beta=90.00 gamma=90.00
Space group P4/mmm (No. 123)
Symmetry-distinct sites (fractional):
Dy  0.000  0.500  0.000
Er  0.000  0.000  0.500
In  0.500  0.500  0.500
O  0.000  0.000  0.000

Below is an optimized crystal structure of DyEr2InO, with properties calculated at the PBE level.

Calculated values
ρ: 9.74 g/cm3
formation energy from raw total energies: -1416 meV/atom
E: -5.701 eV per atom

Unit cell a=4.727 b=4.727 c=4.789 alpha=90.00 beta=90.00 gamma=90.00
Space group P4/mmm (No. 123)
Symmetry-distinct sites (fractional):
Dy  0.000  0.000  0.000
Er  0.000  0.500  0.500
In  0.500  0.500  0.000
O  0.000  0.000  0.500

Below is an optimized crystal structure of DyEr5In2Pb, with properties calculated at the PBE level.

Calculated values
ρ: 9.27 g/cm3
DFT formation energy: -0.059 eV/atom
E: -4.126 eV per atom

Unit cell a=8.511 b=8.511 c=14.200 alpha=90.00 beta=90.00 gamma=90.00
Space group I4/mcm (No. 140)
Symmetry-distinct sites (fractional):
Dy  0.000  0.500  0.250
Er  0.000  0.000  0.000
Er  0.209  0.291  0.133
In  0.111  0.389  0.500
Pb  0.000  0.000  0.250

Below is an optimized crystal structure of DyErInPb, with properties calculated at the PBE level.

Calculated values
ρ: 9.87 g/cm3
relative energy among the computed polymorphs: 44 meV per atom
DFT formation energy: -0.386 eV/atom
E: -4.289 eV per atom

Unit cell a=7.598 b=7.598 c=7.598 alpha=90.00 beta=90.00 gamma=90.00
Space group F-43m (No. 216)
Symmetry-distinct sites (fractional):
Dy  0.000  0.000  0.000
Er  0.000  0.000  0.500
In  0.250  0.250  0.250
Pb  0.250  0.250  0.750

Below is an optimized crystal structure of DyErInPb, with properties calculated at the PBE level.

Calculated values
ρ: 9.98 g/cm3
relative energy among the computed polymorphs: 0 meV per atom
DFT formation energy: -0.429 eV/atom
E: -4.332 eV per atom

Unit cell a=4.962 b=4.962 c=8.812 alpha=90.00 beta=90.00 gamma=90.00
Space group I-4m2 (No. 119)
Symmetry-distinct sites (fractional):
Dy  0.000  0.000  0.000
Er  0.000  0.000  0.500
In  0.000  0.500  0.750
Pb  0.000  0.500  0.250

Below is an optimized crystal structure of DyErInPd, with properties calculated at the PBE level.

Calculated values
ρ: 9.55 g/cm3
DFT formation energy: -0.611 eV/atom
E: -4.885 eV per atom

Unit cell a=7.264 b=7.264 c=7.264 alpha=90.00 beta=90.00 gamma=90.00
Space group F-43m (No. 216)
Symmetry-distinct sites (fractional):
Dy  0.000  0.000  0.000
Er  0.000  0.000  0.500
In  0.250  0.250  0.750
Pd  0.250  0.250  0.250

Below is an optimized crystal structure of PmDy2ErIn4, with properties calculated at the PBE level.

Calculated values
ρ: 8.46 g/cm3
DFT formation energy: -0.465 eV/atom
E: -4.149 eV per atom

Unit cell a=5.3323 b=5.3323 c=26.2116 alpha=90.00 beta=90.00 gamma=120.00
Space group R-3m (No. 166, hexagonal axes)
Symmetry-distinct sites (fractional):
Pm  0.0000  0.0000  0.0000
Dy  0.0000  0.0000  0.2495
Er  0.0000  0.0000  0.5000
In  0.0000  0.0000  0.1263
In  0.0000  0.0000  0.3764

Below is an optimized crystal structure of Pm2Dy3Er6In, with properties calculated at the PBE level.

Calculated values
ρ: 8.63 g/cm3
DFT formation energy: -0.054 eV/atom
E: -4.506 eV per atom

Unit cell a=6.057 b=10.498 c=11.651 alpha=90.00 beta=100.02 gamma=90.00
Space group C2/m (No. 12)
Symmetry-distinct sites (fractional):
Pm  0.000  0.166  0.000
Dy  0.000  0.000  0.500
Dy  0.000  0.333  0.500
Er  0.245  0.500  0.750
Er  0.246  0.336  0.249
In  0.000  0.500  0.000

Below is an optimized crystal structure of Pm2Dy6Er3In, with properties calculated at the PBE level.

Calculated values
ρ: 8.49 g/cm3
DFT formation energy: -0.053 eV/atom
E: -4.515 eV per atom

Unit cell a=6.076 b=10.531 c=11.680 alpha=90.00 beta=100.01 gamma=90.00
Space group C2/m (No. 12)
Symmetry-distinct sites (fractional):
Pm  0.000  0.166  0.000
Dy  0.244  0.500  0.749
Dy  0.247  0.336  0.250
Er  0.000  0.000  0.500
Er  0.000  0.333  0.500
In  0.000  0.500  0.000

Below is an optimized crystal structure of Pm2DyEr5In, with properties calculated at the PBE level.

Calculated values
ρ: 8.29 g/cm3
DFT formation energy: -0.010 eV/atom
E: -4.416 eV per atom

Unit cell a=5.329 b=20.190 c=10.446 alpha=90.00 beta=90.00 gamma=90.00
Space group Cmcm (No. 63)
Symmetry-distinct sites (fractional):
Pm  0.000  0.116  0.040
Dy  0.000  0.209  0.750
Er  0.000  0.011  0.750
Er  0.000  0.289  0.052
Er  0.000  0.384  0.750
Er  0.000  0.500  0.000
In  0.000  0.404  0.250

Below is an optimized crystal structure of Pr2Dy3Er6In, with properties calculated at the PBE level.

Calculated values
ρ: 8.52 g/cm3
DFT formation energy: -0.057 eV/atom
E: -4.514 eV per atom

Unit cell a=6.074 b=10.525 c=11.692 alpha=90.00 beta=100.00 gamma=90.00
Space group C2/m (No. 12)
Symmetry-distinct sites (fractional):
Pr  0.000  0.166  0.000
Dy  0.000  0.000  0.500
Dy  0.000  0.333  0.500
Er  0.244  0.500  0.749
Er  0.247  0.336  0.250
In  0.000  0.500  0.000

Below is an optimized crystal structure of PrDyErIn, with properties calculated at the PBE level.

Calculated values
ρ: 8.30 g/cm3
relative energy among the computed polymorphs: 59 meV per atom
DFT formation energy: -0.084 eV/atom
E: -4.254 eV per atom

Unit cell a=7.768 b=7.768 c=7.768 alpha=90.00 beta=90.00 gamma=90.00
Space group F-43m (No. 216)
Symmetry-distinct sites (fractional):
Pr  0.000  0.000  0.000
Dy  0.250  0.250  0.250
Er  0.250  0.250  0.750
In  0.000  0.000  0.500